An optimized crystal structure of Nb2Mo2N. Source: Alexandria, functional GGA-PBE.

```
5
Lattice="-0.407 -3.348 0.631 2.504 -0.725 -2.231 5.930 -1.622 4.545" Properties=species:S:1:pos:R:3 pbc="T T T"
Mo 1.842 -1.969 0.069
Mo 6.186 -3.726 2.876
Nb 3.286 -3.503 2.188
Nb 4.741 -2.192 0.757
N 0.000 0.000 0.000
```

- calculated volume (Å³ per atom) = 17.07
- space-group type = I4/mmm, No. 139
- crystal system = tetragonal
- spin magnetization (μB per formula unit) = 0.00


An optimized crystal structure of NbMoN3. Source: Alexandria, functional GGA-PBE.

```
5
Lattice="4.022 0.000 0.000 0.000 4.022 0.000 0.000 0.000 4.022" Properties=species:S:1:pos:R:3 pbc="T T T"
Mo 2.011 2.011 2.011
Nb 0.000 0.000 0.000
N 0.000 2.011 0.000
N 0.000 0.000 2.011
N 2.011 0.000 0.000
```

- calculated volume (Å³ per atom) = 13.01
- space-group type = Pm-3m, No. 221
- crystal system = cubic
- spin magnetization (μB per formula unit) = 2.00


An optimized crystal structure of Nb12Mo6N. Source: Alexandria, functional GGA-PBE.

```
19
Lattice="7.158 -0.191 -0.228 -1.274 7.046 -0.228 -1.274 -1.484 6.892" Properties=species:S:1:pos:R:3 pbc="T T T"
Nb 4.483 3.090 3.288
Nb 1.972 4.838 3.628
Nb 2.374 2.359 5.408
Nb 0.128 2.282 3.148
Nb 2.639 0.534 2.808
Nb 2.236 3.013 1.027
Nb -0.246 -0.107 2.144
Nb 4.679 3.216 6.308
Nb 2.470 5.293 6.158
Nb 4.857 5.479 4.292
Nb -0.069 2.156 0.128
Nb 2.141 0.079 0.278
Mo 3.111 5.540 1.466
Mo 4.635 2.228 0.723
Mo -0.393 4.629 2.321
Mo 1.499 -0.168 4.969
Mo -0.024 3.144 5.713
Mo 5.004 0.743 4.114
N 0.000 0.000 0.000
```

- calculated volume (Å³ per atom) = 17.95
- space-group type = R-3, No. 148
- crystal system = trigonal
- spin magnetization (μB per formula unit) = 0.00


An optimized crystal structure of NbMoN3. Source: Alexandria, functional GGA-PBE.

```
20
Lattice="5.421 -0.015 -0.023 0.800 5.764 -0.014 2.554 2.334 7.576" Properties=species:S:1:pos:R:3 pbc="T T T"
Nb 2.686 4.196 6.477
Nb 6.088 3.888 1.063
Nb 2.947 1.339 0.604
Nb 5.827 6.745 6.936
Mo 5.980 4.317 4.336
Mo 2.795 3.767 3.204
Mo 5.836 1.511 2.786
Mo 2.938 6.572 4.754
N 5.227 1.966 0.921
N 3.547 6.118 6.619
N 2.696 3.474 1.136
N 6.079 4.610 6.404
N 2.359 1.574 2.751
N 6.415 6.510 4.789
N 6.606 5.192 2.607
N 2.168 2.892 4.933
N 4.659 5.343 0.526
N 4.115 2.740 7.014
N 3.974 5.114 4.004
N 4.800 2.970 3.536
```

- calculated volume (Å³ per atom) = 11.86
- space-group type = P-1, No. 2
- crystal system = triclinic
- spin magnetization (μB per formula unit) = 0.00


An optimized crystal structure of NbMoN3. Source: Alexandria, functional GGA-PBE.

```
5
Lattice="3.884 0.000 0.000 0.000 3.884 0.000 0.000 0.000 3.884" Properties=species:S:1:pos:R:3 pbc="T T T"
Mo 0.000 0.000 0.000
Nb 1.942 1.942 1.942
N 0.000 1.942 0.000
N 0.000 0.000 1.942
N 1.942 0.000 0.000
```

- calculated volume (Å³ per atom) = 11.72
- space-group type = Pm-3m, No. 221
- crystal system = cubic
- spin magnetization (μB per formula unit) = 0.00


An optimized crystal structure of NbMo2N. Source: Alexandria, functional GGA-PBE.

```
8
Lattice="7.132 0.000 0.000 0.000 7.132 0.000 3.566 3.566 2.272" Properties=species:S:1:pos:R:3 pbc="T T T"
Mo 4.522 1.783 0.568
Mo 2.611 5.349 0.568
Mo 5.349 6.177 1.704
Mo 8.916 8.088 1.704
Nb 0.000 0.000 0.000
Nb 7.132 3.566 1.136
N 3.566 3.566 0.000
N 3.566 7.132 1.136
```

- calculated volume (Å³ per atom) = 14.45
- space-group type = I-42d, No. 122
- crystal system = tetragonal
- spin magnetization (μB per formula unit) = 0.00


Here are the calculated ΔE_f (raw) numbers, same order: 1598, 828, 308, -364, 522, -77 (meV/atom).